A geometry-optimized KRb2BiF structure, computed with PBE-GGA. Values from VASP.

Properties
**Uncorrected formation energy**: -1220 meV/atom
**Crystal system**: tetragonal
**Size of the total moment**: 1.0 μB/f.u.
**Total energy**: -2.977 eV per atom

```
&SYSTEM
  ibrav = 0, nat = 5, ntyp = 4
/
ATOMIC_SPECIES
Bi 208.98 Bi.upf
Rb 85.47 Rb.upf
F 19.00 F.upf
K 39.10 K.upf
CELL_PARAMETERS angstrom
5.732 0.000 0.000
0.000 5.732 0.000
0.000 0.000 5.496
ATOMIC_POSITIONS angstrom
Bi 2.866 2.866 2.748
Rb 2.866 0.000 0.000
Rb 0.000 2.866 0.000
F 0.000 0.000 0.000
K 0.000 0.000 2.748
```